Record 1
Compound: Li2Pb2Se3
Source: Alexandria
Functional: PBE
Structure: relaxed

Lattice parameters (Å, degrees): 4.369 6.970 7.481 119.70 106.98 90.00
Fractional coordinates of all 7 atoms:
Li (0.196, 0.326, 0.392)
Li (0.804, 0.674, 0.608)
Pb (0.404, 0.156, 0.809)
Pb (0.596, 0.844, 0.191)
Se (0.000, 0.000, 0.000)
Se (0.215, 0.718, 0.430)
Se (0.785, 0.282, 0.570)

## Properties
M_tot ... 0.00 Bohr magnetons per cell
Energy ... -27.42 eV/cell

***

Record 2
Compound: Li2Pb2Se
Source: Alexandria
Functional: PBE
Structure: relaxed

Lattice parameters (Å, degrees): 6.759 6.759 5.149 90.00 90.00 90.00
Fractional coordinates of all 10 atoms:
Pb (0.163, 0.663, 0.500)
Pb (0.663, 0.837, 0.500)
Pb (0.837, 0.337, 0.500)
Pb (0.337, 0.163, 0.500)
Se (0.000, 0.000, 0.000)
Se (0.500, 0.500, 0.000)
Li (0.344, 0.844, 0.000)
Li (0.844, 0.656, 0.000)
Li (0.656, 0.156, 0.000)
Li (0.156, 0.344, 0.000)

## Properties
Energy above the lowest structure with this stoichiometry ... 7.6 meV/atom
N(E_F) ... 2.523 states/eV/cell
M_tot ... 0.00 Bohr magnetons per cell
Energy ... -33.24 eV/cell

***

Record 3
Compound: LiPb3Se
Source: Alexandria
Functional: PBE
Structure: relaxed

Lattice parameters (Å, degrees): 5.746 5.746 5.746 90.00 90.00 90.00
Fractional coordinates of all 5 atoms:
Pb (0.000, 0.500, 0.000)
Pb (0.000, 0.000, 0.500)
Pb (0.500, 0.000, 0.000)
Se (0.000, 0.000, 0.000)
Li (0.500, 0.500, 0.500)

## Properties
Energy above the lowest structure with this stoichiometry ... 94.5 meV/atom
N(E_F) ... 3.280 states/eV/cell
M_tot ... 0.00 Bohr magnetons per cell
Energy ... -15.63 eV/cell

***

Record 4
Compound: LiPb3Se
Source: Alexandria
Functional: PBE
Structure: relaxed

Lattice parameters (Å, degrees): 5.168 5.168 5.168 90.00 90.00 90.00
Fractional coordinates of all 5 atoms:
Pb (0.000, 0.500, 0.000)
Pb (0.000, 0.000, 0.500)
Pb (0.500, 0.000, 0.000)
Se (0.500, 0.500, 0.500)
Li (0.000, 0.000, 0.000)

## Properties
Energy above the lowest structure with this stoichiometry ... 0.0 meV/atom
N(E_F) ... 2.276 states/eV/cell
M_tot ... 0.00 Bohr magnetons per cell
Energy ... -16.10 eV/cell

***

Record 5
Compound: LiPb2Se2
Source: Alexandria
Functional: PBE
Structure: relaxed

Lattice parameters (Å, degrees): 7.707 7.707 4.489 90.00 90.00 90.00
Fractional coordinates of all 10 atoms:
Pb (0.152, 0.652, 0.500)
Pb (0.652, 0.848, 0.500)
Pb (0.848, 0.348, 0.500)
Pb (0.348, 0.152, 0.500)
Se (0.325, 0.825, 0.000)
Se (0.825, 0.675, 0.000)
Se (0.675, 0.175, 0.000)
Se (0.175, 0.325, 0.000)
Li (0.000, 0.000, 0.000)
Li (0.500, 0.500, 0.000)

## Properties
N(E_F) ... 4.320 states/eV/cell
M_tot ... 0.00 Bohr magnetons per cell
Energy ... -37.38 eV/cell

***

Record 6
Compound: LiPbSe4
Source: Alexandria
Functional: PBE
Structure: relaxed

Lattice parameters (Å, degrees): 5.892 5.892 5.892 60.00 60.00 60.00
Fractional coordinates of all 6 atoms:
Li (0.750, 0.750, 0.750)
Pb (0.000, 0.000, 0.000)
Se (0.874, 0.375, 0.375)
Se (0.375, 0.375, 0.874)
Se (0.375, 0.874, 0.375)
Se (0.375, 0.375, 0.375)

## Properties
N(E_F) ... 5.587 states/eV/cell
M_tot ... 0.00 Bohr magnetons per cell
Energy ... -18.82 eV/cell

***

Record 7
Compound: Li4PbSe
Source: Alexandria
Functional: PBE
Structure: relaxed

Lattice parameters (Å, degrees): 5.491 5.491 5.491 60.00 60.00 60.00
Fractional coordinates of all 6 atoms:
Li (0.871, 0.376, 0.376)
Li (0.376, 0.376, 0.871)
Li (0.376, 0.871, 0.376)
Li (0.376, 0.376, 0.376)
Pb (0.750, 0.750, 0.750)
Se (0.000, 0.000, 0.000)

## Properties
N(E_F) ... 3.470 states/eV/cell
M_tot ... 0.00 Bohr magnetons per cell
Energy ... -15.91 eV/cell

***

Record 8
Compound: LiPb4Se5
Source: Alexandria
Functional: PBE
Structure: relaxed

Lattice parameters (Å, degrees): 4.292 6.046 11.336 105.47 100.91 90.00
Fractional coordinates of all 10 atoms:
Li (0.000, 0.000, 0.000)
Pb (0.403, 0.403, 0.806)
Pb (0.808, 0.808, 0.617)
Pb (0.192, 0.192, 0.383)
Pb (0.597, 0.597, 0.194)
Se (0.593, 0.093, 0.186)
Se (0.800, 0.300, 0.599)
Se (0.200, 0.700, 0.401)
Se (0.000, 0.500, 0.000)
Se (0.407, 0.907, 0.814)

## Properties
N(E_F) ... 5.662 states/eV/cell
M_tot ... 0.00 Bohr magnetons per cell
Energy ... -40.05 eV/cell

***

Record 9
Compound: Li2Pb2Se
Source: Alexandria
Functional: PBE
Structure: relaxed

Lattice parameters (Å, degrees): 4.799 4.799 6.339 90.00 90.00 90.00
Fractional coordinates of all 5 atoms:
Pb (0.500, 0.500, 0.500)
Pb (0.000, 0.000, 0.500)
Se (0.000, 0.000, 0.000)
Li (0.000, 0.500, 0.000)
Li (0.500, 0.000, 0.000)

## Properties
Energy above the lowest structure with this stoichiometry ... 0.0 meV/atom
N(E_F) ... 2.690 states/eV/cell
M_tot ... 0.65 Bohr magnetons per cell
Energy ... -16.66 eV/cell

***

Record 10
Compound: LiPbSe3
Source: Alexandria
Functional: PBE
Structure: relaxed

Lattice parameters (Å, degrees): 4.869 4.869 4.869 90.00 90.00 90.00
Fractional coordinates of all 5 atoms:
Pb (0.500, 0.500, 0.500)
Se (0.000, 0.500, 0.000)
Se (0.000, 0.000, 0.500)
Se (0.500, 0.000, 0.000)
Li (0.000, 0.000, 0.000)

## Properties
Energy above the lowest structure with this stoichiometry ... 0.0 meV/atom
N(E_F) ... 5.246 states/eV/cell
M_tot ... 0.00 Bohr magnetons per cell
Energy ... -16.40 eV/cell

***

Record 11
Compound: LiSi2PbSe6
Source: Alexandria
Functional: PBE
Structure: relaxed

Lattice parameters (Å, degrees): 6.921 9.036 9.036 85.17 76.72 76.72
Fractional coordinates of all 20 atoms:
Li (0.250, 0.245, 0.755)
Li (0.750, 0.755, 0.245)
Si (0.275, 0.784, 0.633)
Si (0.225, 0.367, 0.216)
Si (0.725, 0.216, 0.367)
Si (0.775, 0.633, 0.784)
Pb (0.250, 0.857, 0.143)
Pb (0.750, 0.143, 0.857)
Se (0.175, 0.958, 0.820)
Se (0.325, 0.180, 0.042)
Se (0.825, 0.042, 0.180)
Se (0.675, 0.820, 0.958)
Se (0.408, 0.903, 0.411)
Se (0.092, 0.589, 0.097)
Se (0.592, 0.097, 0.589)
Se (0.908, 0.411, 0.903)
Se (0.015, 0.694, 0.571)
Se (0.485, 0.429, 0.306)
Se (0.985, 0.306, 0.429)
Se (0.515, 0.571, 0.694)

## Properties
N(E_F) ... 6.110 states/eV/cell
M_tot ... 0.00 Bohr magnetons per cell
Energy ... -84.10 eV/cell

***

Record 12
Compound: LiSm2PbSe4
Source: Alexandria
Functional: PBE
Structure: relaxed

Lattice parameters (Å, degrees): 8.436 8.436 8.449 120.05 120.05 89.67
Fractional coordinates of all 16 atoms:
Li (0.500, 0.500, 0.500)
Li (0.000, 0.000, 0.000)
Sm (0.500, 0.000, 0.000)
Sm (0.500, 0.000, 0.500)
Sm (0.000, 0.000, 0.500)
Sm (0.500, 0.500, 0.000)
Pb (0.000, 0.500, 0.000)
Pb (0.000, 0.500, 0.500)
Se (0.255, 0.763, 0.009)
Se (0.737, 0.245, 0.491)
Se (0.263, 0.755, 0.509)
Se (0.745, 0.237, 0.991)
Se (0.745, 0.755, 0.999)
Se (0.745, 0.755, 0.501)
Se (0.255, 0.245, 0.499)
Se (0.255, 0.245, 0.001)

## Properties
N(E_F) ... 7.098 states/eV/cell
M_tot ... 0.00 Bohr magnetons per cell
Energy ... -80.04 eV/cell